# ScZn2Pb PBE relaxed
data_ScZn2Pb
_chemical_formula_sum 'Sc2 Zn4 Pb2'
_cell_length_a 4.124
_cell_length_b 4.250
_cell_length_c 9.320
_cell_angle_alpha 90.00
_cell_angle_beta 90.00
_cell_angle_gamma 90.00
_space_group_name_H-M_alt 'I m m 2'
_space_group_IT_number 44
_space_group_name_Hall 'I 2 -2'
loop_
_atom_site_label
_atom_site_fract_x
_atom_site_fract_y
_atom_site_fract_z
_atom_site_occupancy
Sc1 0.000 0.000 0.000 1
Zn1 0.000 0.000 0.480 1
Zn2 0.000 0.500 0.757 1
Pb1 0.000 0.500 0.242 1
# Energy in eV for the cell shown: -26.11
# DOS at the Fermi energy in states/eV per cell: 5.33

---

# ScZn2Pb PBE relaxed
data_ScZn2Pb
_chemical_formula_sum 'Sc2 Zn4 Pb2'
_cell_length_a 4.662
_cell_length_b 4.911
_cell_length_c 7.273
_cell_angle_alpha 90.00
_cell_angle_beta 90.00
_cell_angle_gamma 90.00
_space_group_name_H-M_alt 'C m m 2'
_space_group_IT_number 35
_space_group_name_Hall 'C 2 -2'
loop_
_atom_site_label
_atom_site_fract_x
_atom_site_fract_y
_atom_site_fract_z
_atom_site_occupancy
Sc1 0.000 0.000 0.000 1
Zn1 0.000 0.000 0.594 1
Zn2 0.000 0.500 0.767 1
Pb1 0.000 0.500 0.308 1
# Energy in eV for the cell shown: -25.96
# DOS at the Fermi energy in states/eV per cell: 5.64

---

# ScZnPb2 PBE relaxed
data_ScZnPb2
_chemical_formula_sum 'Sc2 Zn2 Pb4'
_cell_length_a 4.281
_cell_length_b 4.281
_cell_length_c 10.344
_cell_angle_alpha 90.00
_cell_angle_beta 90.00
_cell_angle_gamma 90.00
_space_group_name_H-M_alt 'I -4 m 2'
_space_group_IT_number 119
_space_group_name_Hall 'I -4 -2'
loop_
_atom_site_label
_atom_site_fract_x
_atom_site_fract_y
_atom_site_fract_z
_atom_site_occupancy
Sc1 0.000 0.000 0.000 1
Zn1 0.000 0.500 0.750 1
Pb1 0.000 0.000 0.500 1
Pb2 0.000 0.500 0.250 1
# Energy in eV for the cell shown: -31.01
# DOS at the Fermi energy in states/eV per cell: 4.09

---

# Sc2Zn2Pb PBE relaxed
data_Sc2Zn2Pb
_chemical_formula_sum 'Sc4 Zn4 Pb2'
_cell_length_a 3.552
_cell_length_b 3.552
_cell_length_c 17.438
_cell_angle_alpha 90.00
_cell_angle_beta 90.00
_cell_angle_gamma 90.00
_space_group_name_H-M_alt 'I 4/m m m'
_space_group_IT_number 139
_space_group_name_Hall '-I 4 2'
loop_
_atom_site_label
_atom_site_fract_x
_atom_site_fract_y
_atom_site_fract_z
_atom_site_occupancy
Sc1 0.000 0.000 0.113 1
Zn1 0.000 0.500 0.250 1
Pb1 0.000 0.000 0.500 1
# Energy in eV for the cell shown: -38.87
# DOS at the Fermi energy in states/eV per cell: 12.16

---

# Sc3ZnPb PBE relaxed
data_Sc3ZnPb
_chemical_formula_sum 'Sc3 Zn1 Pb1'
_cell_length_a 5.030
_cell_length_b 5.030
_cell_length_c 5.030
_cell_angle_alpha 90.00
_cell_angle_beta 90.00
_cell_angle_gamma 90.00
_space_group_name_H-M_alt 'P m -3 m'
_space_group_IT_number 221
_space_group_name_Hall '-P 4 2 3'
loop_
_atom_site_label
_atom_site_fract_x
_atom_site_fract_y
_atom_site_fract_z
_atom_site_occupancy
Sc1 0.000 0.000 0.500 1
Zn1 0.000 0.000 0.000 1
Pb1 0.500 0.500 0.500 1
# Energy in eV for the cell shown: -24.09
# DOS at the Fermi energy in states/eV per cell: 4.45

---

# ScZnPb PBE relaxed
data_ScZnPb
_chemical_formula_sum 'Sc4 Zn4 Pb4'
_cell_length_a 4.805
_cell_length_b 4.813
_cell_length_c 11.735
_cell_angle_alpha 90.00
_cell_angle_beta 90.00
_cell_angle_gamma 90.00
_space_group_name_H-M_alt 'F m m 2'
_space_group_IT_number 42
_space_group_name_Hall 'F 2 -2'
loop_
_atom_site_label
_atom_site_fract_x
_atom_site_fract_y
_atom_site_fract_z
_atom_site_occupancy
Sc1 0.000 0.000 0.000 1
Zn1 0.000 0.000 0.364 1
Pb1 0.000 0.000 0.696 1
# Energy in eV for the cell shown: -46.92
# DOS at the Fermi energy in states/eV per cell: 6.35

---

# ScZnPb2 PBE relaxed
data_ScZnPb2
_chemical_formula_sum 'Sc1 Zn1 Pb2'
_cell_length_a 3.609
_cell_length_b 4.771
_cell_length_c 6.037
_cell_angle_alpha 90.00
_cell_angle_beta 107.16
_cell_angle_gamma 90.00
_space_group_name_H-M_alt 'P 1 m 1'
_space_group_IT_number 6
_space_group_name_Hall 'P -2y'
loop_
_atom_site_label
_atom_site_fract_x
_atom_site_fract_y
_atom_site_fract_z
_atom_site_occupancy
Sc1 0.000 0.000 0.000 1
Zn1 0.154 0.500 0.312 1
Pb1 0.436 0.500 0.869 1
Pb2 0.726 0.000 0.461 1
# Energy in eV for the cell shown: -15.46
# DOS at the Fermi energy in states/eV per cell: 2.90

---

# ScZnPb2 PBE relaxed
data_ScZnPb2
_chemical_formula_sum 'Sc2 Zn2 Pb4'
_cell_length_a 3.525
_cell_length_b 5.084
_cell_length_c 10.826
_cell_angle_alpha 90.00
_cell_angle_beta 90.00
_cell_angle_gamma 90.00
_space_group_name_H-M_alt 'I m m 2'
_space_group_IT_number 44
_space_group_name_Hall 'I 2 -2'
loop_
_atom_site_label
_atom_site_fract_x
_atom_site_fract_y
_atom_site_fract_z
_atom_site_occupancy
Sc1 0.000 0.000 0.000 1
Zn1 0.000 0.500 0.716 1
Pb1 0.000 0.000 0.462 1
Pb2 0.000 0.500 0.239 1
# Energy in eV for the cell shown: -30.97
# DOS at the Fermi energy in states/eV per cell: 3.92

---

# ScZnPb2 PBE relaxed
data_ScZnPb2
_chemical_formula_sum 'Sc4 Zn4 Pb8'
_cell_length_a 6.392
_cell_length_b 6.426
_cell_length_c 9.420
_cell_angle_alpha 90.00
_cell_angle_beta 90.00
_cell_angle_gamma 90.00
_space_group_name_H-M_alt 'F m m m'
_space_group_IT_number 69
_space_group_name_Hall '-F 2 2'
loop_
_atom_site_label
_atom_site_fract_x
_atom_site_fract_y
_atom_site_fract_z
_atom_site_occupancy
Sc1 0.000 0.000 0.000 1
Zn1 0.000 0.000 0.500 1
Pb1 0.250 0.250 0.250 1
# Energy in eV for the cell shown: -61.75
# DOS at the Fermi energy in states/eV per cell: 7.51

---

# ScZnPb2 PBE relaxed
data_ScZnPb2
_chemical_formula_sum 'Sc2 Zn2 Pb4'
_cell_length_a 7.385
_cell_length_b 7.457
_cell_length_c 3.522
_cell_angle_alpha 90.00
_cell_angle_beta 90.43
_cell_angle_gamma 90.00
_space_group_name_H-M_alt 'C 1 2/m 1'
_space_group_IT_number 12
_space_group_name_Hall '-C 2y'
loop_
_atom_site_label
_atom_site_fract_x
_atom_site_fract_y
_atom_site_fract_z
_atom_site_occupancy
Sc1 0.000 0.000 0.000 1
Zn1 0.000 0.500 0.000 1
Pb1 0.250 0.250 0.500 1
# Energy in eV for the cell shown: -30.89
# DOS at the Fermi energy in states/eV per cell: 4.75

---

# ScZn2Pb PBE relaxed
data_ScZn2Pb
_chemical_formula_sum 'Sc1 Zn2 Pb1'
_cell_length_a 3.398
_cell_length_b 3.398
_cell_length_c 7.385
_cell_angle_alpha 90.00
_cell_angle_beta 90.00
_cell_angle_gamma 90.00
_space_group_name_H-M_alt 'P 4/m m m'
_space_group_IT_number 123
_space_group_name_Hall '-P 4 2'
loop_
_atom_site_label
_atom_site_fract_x
_atom_site_fract_y
_atom_site_fract_z
_atom_site_occupancy
Sc1 0.000 0.000 0.000 1
Zn1 0.500 0.500 0.223 1
Pb1 0.000 0.000 0.500 1
# Energy in eV for the cell shown: -12.93
# DOS at the Fermi energy in states/eV per cell: 2.80

---

# Sc6Zn5Pb PBE relaxed
data_Sc6Zn5Pb
_chemical_formula_sum 'Sc12 Zn10 Pb2'
_cell_length_a 4.805
_cell_length_b 6.813
_cell_length_c 14.447
_cell_angle_alpha 90.00
_cell_angle_beta 90.00
_cell_angle_gamma 90.00
_space_group_name_H-M_alt 'I m m m'
_space_group_IT_number 71
_space_group_name_Hall '-I 2 2'
loop_
_atom_site_label
_atom_site_fract_x
_atom_site_fract_y
_atom_site_fract_z
_atom_site_occupancy
Sc1 0.000 0.233 0.000 1
Sc2 0.000 0.258 0.328 1
Zn1 0.000 0.000 0.168 1
Zn2 0.000 0.500 0.169 1
Zn3 0.000 0.500 0.500 1
Pb1 0.000 0.000 0.500 1
# Energy in eV for the cell shown: -104.94
# DOS at the Fermi energy in states/eV per cell: 21.17

---

# ScZnPb PBE relaxed
data_ScZnPb
_chemical_formula_sum 'Sc1 Zn1 Pb1'
_cell_length_a 3.4210
_cell_length_b 3.4210
_cell_length_c 7.0502
_cell_angle_alpha 90.00
_cell_angle_beta 90.00
_cell_angle_gamma 120.00
_space_group_name_H-M_alt 'P 3 m 1'
_space_group_IT_number 156
_space_group_name_Hall 'P 3 -2"'
loop_
_atom_site_label
_atom_site_fract_x
_atom_site_fract_y
_atom_site_fract_z
_atom_site_occupancy
Sc1 0.0000 0.0000 0.0000 1
Zn1 0.3333 0.6667 0.3043 1
Pb1 0.6667 0.3333 0.6383 1
# Energy in eV for the cell shown: -11.31
# DOS at the Fermi energy in states/eV per cell: 3.49

---

# Sc2Zn2Pb PBE relaxed
data_Sc2Zn2Pb
_chemical_formula_sum 'Sc4 Zn4 Pb2'
_cell_length_a 7.009
_cell_length_b 7.009
_cell_length_c 4.191
_cell_angle_alpha 90.00
_cell_angle_beta 90.00
_cell_angle_gamma 90.00
_space_group_name_H-M_alt 'P 4/m b m'
_space_group_IT_number 127
_space_group_name_Hall '-P 4 2ab'
loop_
_atom_site_label
_atom_site_fract_x
_atom_site_fract_y
_atom_site_fract_z
_atom_site_occupancy
Sc1 0.167 0.333 0.000 1
Zn1 0.123 0.623 0.500 1
Pb1 0.000 0.000 0.500 1
# Energy in eV for the cell shown: -40.94
# DOS at the Fermi energy in states/eV per cell: 3.51